# 1
The following is a PBE calculation of crystalline ZnSb2Pb at its relaxed geometry, from the Alexandria database.

```
data_ZnSb2Pb
_chemical_formula_sum 'Zn1 Sb2 Pb1'
_space_group_name_H-M_alt 'P 1 m 1'
_space_group_IT_number 6
_space_group_name_Hall 'P -2y'
_cell_length_a 3.259
_cell_length_b 4.237
_cell_length_c 7.907
_cell_angle_alpha 90.00
_cell_angle_beta 90.05
_cell_angle_gamma 90.00
loop_
_atom_site_label
_atom_site_fract_x
_atom_site_fract_y
_atom_site_fract_z
_atom_site_occupancy
Zn1 0.000 0.000 0.000 1
Sb1 0.012 0.000 0.485 1
Sb2 0.013 0.500 0.764 1
Pb1 0.500 0.500 0.204 1
```

Calculated values
The energy is -3.1710 eV per atom.

=====

# 2
The following is a PBE calculation of crystalline AsOsC2Br at its relaxed geometry, from the Alexandria database.

```
data_AsOsC2Br
_chemical_formula_sum 'As1 Os1 C2 Br1'
_space_group_name_H-M_alt 'P 4/m m m'
_space_group_IT_number 123
_space_group_name_Hall '-P 4 2'
_cell_length_a 3.886
_cell_length_b 3.886
_cell_length_c 4.947
_cell_angle_alpha 90.00
_cell_angle_beta 90.00
_cell_angle_gamma 90.00
loop_
_atom_site_label
_atom_site_fract_x
_atom_site_fract_y
_atom_site_fract_z
_atom_site_occupancy
As1 0.000 0.000 0.000 1
Os1 0.500 0.500 0.000 1
C1 0.000 0.500 0.500 1
Br1 0.000 0.000 0.500 1
```

Calculated values
The energy is -3.9348 eV per atom.